# 1
{
  "formula": "AgI3Br",
  "functional": "PBE-GGA",
  "state": "relaxed",
  "e_form_raw_mev_per_atom": 465,
  "de_polymorph_kcal_per_mol_atoms": 4.28,
  "dos_at_fermi_per_ev_atom": 0.320,
  "lattice": [[5.934, 0.000, 0.000], [0.000, 5.934, 0.000], [0.000, 0.000, 5.934]],
  "species": ["Br", "I", "I", "I", "Ag"],
  "frac_coords": [[0.000, 0.000, 0.000], [0.500, 0.000, 0.000], [0.000, 0.500, 0.000], [0.000, 0.000, 0.500], [0.500, 0.500, 0.500]]
}

# 2
{
  "formula": "CeBi2H",
  "functional": "PBE-GGA",
  "state": "relaxed",
  "dos_at_fermi_per_ev_atom": 1.381,
  "energy_ev_per_cell": -18.09,
  "lattice": [[3.471, 0.472, -0.125], [-1.310, 3.249, 0.125], [-2.185, -1.219, 8.531]],
  "species": ["H", "Ce", "Bi", "Bi"],
  "frac_coords": [[0.147, 0.183, 0.330], [0.733, 0.571, 0.304], [0.046, 0.957, 0.002], [0.574, 0.039, 0.613]]
}